The following is a DFT calculation (PBE with a Hubbard U) of La2CoCu2O6 after structural relaxation.

abc: 5.9402 5.9402 5.9402
angles: 58.00 58.00 58.00
Positions (direct):
1 La 0.2148 0.2148 0.2148
2 La 0.7852 0.7852 0.7852
3 Co 0.0000 0.0000 0.0000
4 Cu 0.4131 0.4131 0.4131
5 Cu 0.5869 0.5869 0.5869
6 O 0.2057 0.7676 0.7676
7 O 0.2324 0.2324 0.7943
8 O 0.2324 0.7943 0.2324
9 O 0.7676 0.2057 0.7676
10 O 0.7676 0.7676 0.2057
11 O 0.7943 0.2324 0.2324

Uncorrected energy, eV per atom: -6.5089
DOS(E_F), states/eV/cell: 8.4